VASP calculation (GGA-PBE) on a relaxed Na3Ce3AgS8 crystal.

The space group is R-3m (No. 166, hexagonal axes) and the conventional cell measures 8.0497, 8.0497 and 19.8103 Å, with angles of 90.00, 90.00 and 120.00 degrees. The distinct sites, in fractional coordinates, are Na at (0.0000, 0.5000, 0.0000), Ce at (0.0000, 0.5000, 0.5000), Ag at (0.0000, 0.0000, 0.5000), S at (0.0000, 0.0000, 0.2449) and S at (0.0106, 0.5053, 0.7592).

=====

VASP calculation (GGA-PBE) on a relaxed NaCeAg2S4 crystal.

The space group is I-42m (No. 121) and the conventional cell measures 6.974, 6.974 and 7.327 Å, with angles of 90.00, 90.00 and 90.00 degrees. The distinct sites, in fractional coordinates, are Na at (0.000, 0.000, 0.000), Ce at (0.000, 0.000, 0.500), Ag at (0.000, 0.500, 0.250) and S at (0.211, 0.211, 0.259).

=====

VASP calculation (GGA-PBE) on a relaxed NaCe2Ag3S6 crystal.

The space group is C2/m (No. 12) and the conventional cell measures 15.969, 4.161 and 8.099 Å, with angles of 90.00, 98.49 and 90.00 degrees. The distinct sites, in fractional coordinates, are Na at (0.000, 0.000, 0.000), Ce at (0.159, 0.500, 0.328), Ag at (0.000, 0.000, 0.500), Ag at (0.161, 0.500, 0.870), S at (0.007, 0.500, 0.745), S at (0.168, 0.000, 0.554) and S at (0.177, 0.000, 0.110).

=====

Number 1: E_form (uncorrected) -1.401 eV/atom. Number 2: E_form (uncorrected) -0.788 eV/atom. Number 3: E_form (uncorrected) -1.034 eV/atom.